(1)
The following is a PBE calculation of a relaxed structure of Y2Er2I5N, from OQMD via LeMat-Bulk. Values from VASP.

## Properties
The calculation puts the total energy at -5.048 eV per atom. As for the space group: C2/m (12).

Quantum ESPRESSO input file:
```
&SYSTEM
  ibrav = 0, nat = 10, ntyp = 4
/
ATOMIC_SPECIES
Er 167.26 Er.upf
I 126.90 I.upf
N 14.01 N.upf
Y 88.91 Y.upf
CELL_PARAMETERS angstrom
9.414 -1.944 0.000
9.414 1.944 0.000
-1.875 0.000 8.285
ATOMIC_POSITIONS crystal
Er 0.999 0.999 0.186
Er 0.001 0.001 0.814
I 0.834 0.834 0.183
I 0.163 0.163 0.343
I 0.500 0.500 0.500
I 0.837 0.837 0.657
I 0.166 0.166 0.817
N 0.500 0.500 0.000
Y 0.627 0.627 0.063
Y 0.373 0.373 0.937
```



(2)
The following is a PBE calculation of a relaxed structure of Sr2TmIrO6, from OQMD via LeMat-Bulk. Values from VASP.

## Properties
The calculation puts the total energy at -6.812 eV per atom. As for the space group: C2/m (12).

Quantum ESPRESSO input file:
```
&SYSTEM
  ibrav = 0, nat = 10, ntyp = 4
/
ATOMIC_SPECIES
Ir 192.22 Ir.upf
O 16.00 O.upf
Sr 87.62 Sr.upf
Tm 168.93 Tm.upf
CELL_PARAMETERS angstrom
5.180 -2.767 0.000
5.180 2.767 0.000
-1.755 0.000 5.220
ATOMIC_POSITIONS crystal
Ir 0.000 0.000 0.000
O 0.672 0.165 0.171
O 0.165 0.672 0.171
O 0.164 0.164 0.324
O 0.836 0.836 0.676
O 0.835 0.328 0.829
O 0.328 0.835 0.829
Sr 0.670 0.670 0.212
Sr 0.330 0.330 0.788
Tm 0.000 0.000 0.500
```



(3)
The following is a PBE calculation of a relaxed structure of GdGa2AgPt, from OQMD via LeMat-Bulk. Values from VASP.

## Properties
The calculation puts the total energy at -4.616 eV per atom. As for the space group: P4/nmm (129).

Quantum ESPRESSO input file:
```
&SYSTEM
  ibrav = 0, nat = 10, ntyp = 4
/
ATOMIC_SPECIES
Ag 107.87 Ag.upf
Ga 69.72 Ga.upf
Gd 157.25 Gd.upf
Pt 195.08 Pt.upf
CELL_PARAMETERS angstrom
4.270 0.000 0.000
0.000 4.270 0.000
0.000 0.000 10.797
ATOMIC_POSITIONS crystal
Ag 0.000 0.000 0.000
Ag 0.500 0.500 0.000
Ga 0.500 0.000 0.145
Ga 0.000 0.000 0.500
Ga 0.500 0.500 0.500
Ga 0.000 0.500 0.855
Gd 0.000 0.500 0.265
Gd 0.500 0.000 0.735
Pt 0.500 0.000 0.371
Pt 0.000 0.500 0.629
```



(4)
The following is a PBE calculation of a relaxed structure of Ho3Mg3TlAgPd, from OQMD via LeMat-Bulk. Values from VASP.

## Properties
The calculation puts the total energy at -3.629 eV per atom. As for the space group: P-6 (174).

Quantum ESPRESSO input file:
```
&SYSTEM
  ibrav = 0, nat = 9, ntyp = 5
/
ATOMIC_SPECIES
Ag 107.87 Ag.upf
Ho 164.93 Ho.upf
Mg 24.30 Mg.upf
Pd 106.42 Pd.upf
Tl 204.38 Tl.upf
CELL_PARAMETERS angstrom
-0.315 -2.593 -7.388
5.868 -2.234 4.690
-2.137 -3.122 1.187
ATOMIC_POSITIONS crystal
Ag 0.000 0.000 0.500
Ho 0.427 0.030 0.500
Ho 0.970 0.397 0.500
Ho 0.603 0.573 0.500
Mg 0.249 0.249 0.000
Mg 0.000 0.751 0.000
Mg 0.751 0.000 0.000
Pd 0.667 0.333 0.000
Tl 0.333 0.667 0.000
```



(5)
The following is a PBE calculation of a relaxed structure of Na2NbZnS4, from OQMD via LeMat-Bulk. Values from VASP.

## Properties
The calculation puts the total energy at -4.709 eV per atom. As for the space group: I-4 (82).

Quantum ESPRESSO input file:
```
&SYSTEM
  ibrav = 0, nat = 8, ntyp = 4
/
ATOMIC_SPECIES
Na 22.99 Na.upf
Nb 92.91 Nb.upf
S 32.06 S.upf
Zn 65.41 Zn.upf
CELL_PARAMETERS angstrom
5.181 -2.609 -3.337
2.253 -3.768 5.051
-6.307 -0.199 -2.229
ATOMIC_POSITIONS crystal
Na 0.500 0.500 0.000
Na 0.250 0.750 0.500
Nb 0.000 0.000 0.000
S 0.681 0.118 0.054
S 0.373 0.319 0.437
S 0.882 0.936 0.563
S 0.064 0.627 0.946
Zn 0.750 0.250 0.500
```



(6)
The following is a PBE calculation of a relaxed structure of ZrZnB4, from OQMD via LeMat-Bulk. Values from VASP.

## Properties
As for the space group: Immm (71). The energy relative to the lowest polymorph listed for this composition is 0 meV per atom.

Quantum ESPRESSO input file:
```
&SYSTEM
  ibrav = 0, nat = 6, ntyp = 3
/
ATOMIC_SPECIES
B 10.81 B.upf
Zn 65.41 Zn.upf
Zr 91.22 Zr.upf
CELL_PARAMETERS angstrom
-1.564 2.575 3.721
1.564 -2.575 3.721
1.564 2.575 -3.721
ATOMIC_POSITIONS crystal
B 0.565 0.239 0.326
B 0.087 0.761 0.326
B 0.913 0.239 0.674
B 0.435 0.761 0.674
Zn 0.000 0.000 0.000
Zr 0.500 0.500 0.000
```